A geometry-optimized ZrMo5 structure, computed with GGA-PBE.

Summary:
Distance to the lowest polymorph of the same formula ... 27.39 kJ/mol of atoms
Magnetic moment ... 0.000 μB per cell
Energy of formation ... 245 meV per atom

Unit cell a=5.341 b=5.341 c=4.439 alpha=90.00 beta=90.00 gamma=120.00
Atoms (fractional coordinates):
Mo  0.500  0.500  0.500
Zr  0.000  0.000  0.000
Mo  0.667  0.333  0.000
Mo  0.333  0.667  0.000
Mo  0.500  0.000  0.500
Mo  0.000  0.500  0.500